No. 1
A geometry-optimized Li3Mn4SbO8 structure. Source: Alexandria, functional PBEsol.

Geometry as POSCAR:
```
Li3Mn4SbO8
1.0
5.156 -3.143 0.000
5.156 3.143 0.000
-3.658 0.000 5.086
Li Mn Sb O
3 4 1 8
Direct
0.000 0.000 0.000 Li
0.000 0.500 0.500 Li
0.500 0.000 0.500 Li
0.000 0.000 0.500 Mn
0.000 0.500 0.000 Mn
0.500 0.000 0.000 Mn
0.500 0.500 0.000 Mn
0.500 0.500 0.500 Sb
0.250 0.250 0.761 O
0.258 0.258 0.253 O
0.262 0.726 0.726 O
0.274 0.738 0.274 O
0.726 0.262 0.726 O
0.738 0.274 0.274 O
0.742 0.742 0.747 O
0.750 0.750 0.239 O
```

Properties
**Crystal system**: monoclinic
**DOS(E_F)**: 3.7 states/eV/f.u.
**Uncorrected energy**: -115.13 eV per cell

No. 2
A geometry-optimized Li4Mn3SbO8 structure. Source: Alexandria, functional PBEsol.

Geometry as POSCAR:
```
Li4Mn3SbO8
1.0
5.091 -3.106 0.000
5.091 3.106 0.000
-3.259 0.000 9.973
Li Mn Sb O
8 6 2 16
Direct
0.000 0.500 0.000 Li
0.000 0.500 0.500 Li
0.225 0.259 0.238 Li
0.259 0.225 0.738 Li
0.500 0.000 0.000 Li
0.500 0.000 0.500 Li
0.741 0.775 0.262 Li
0.775 0.741 0.762 Li
0.000 0.000 0.000 Mn
0.000 0.000 0.500 Mn
0.252 0.748 0.750 Mn
0.500 0.500 0.000 Mn
0.500 0.500 0.500 Mn
0.748 0.252 0.250 Mn
0.254 0.746 0.250 Sb
0.746 0.254 0.750 Sb
0.092 0.136 0.874 O
0.123 0.671 0.888 O
0.127 0.619 0.364 O
0.136 0.092 0.374 O
0.329 0.877 0.612 O
0.368 0.395 0.134 O
0.381 0.873 0.136 O
0.395 0.368 0.634 O
0.605 0.632 0.366 O
0.619 0.127 0.864 O
0.632 0.605 0.866 O
0.671 0.123 0.388 O
0.864 0.908 0.626 O
0.873 0.381 0.636 O
0.877 0.329 0.112 O
0.908 0.864 0.126 O
```

Properties
**Relative energy among the computed polymorphs**: 0 meV/atom
**Crystal system**: monoclinic
**DOS(E_F)**: 4.3 states/eV/f.u.

No. 3
A geometry-optimized Li4Mn3SbO8 structure. Source: Alexandria, functional PBEsol.

Geometry as POSCAR:
```
Li4Mn3SbO8
1.0
5.987 0.000 0.000
2.856 5.264 0.000
2.857 1.702 4.981
Li Mn Sb O
4 3 1 8
Direct
0.000 0.000 0.000 Li
0.001 0.498 0.500 Li
0.499 0.499 0.002 Li
0.502 0.993 0.505 Li
0.001 0.000 0.499 Mn
0.501 0.000 0.001 Mn
0.501 0.498 0.500 Mn
0.000 0.500 0.000 Sb
0.232 0.263 0.764 O
0.237 0.269 0.236 O
0.237 0.736 0.768 O
0.267 0.765 0.266 O
0.735 0.233 0.734 O
0.764 0.263 0.231 O
0.764 0.731 0.763 O
0.769 0.736 0.236 O
```

Properties
**Relative energy among the computed polymorphs**: 2 meV/atom
**Crystal system**: triclinic
**DOS(E_F)**: 5.1 states/eV/f.u.

No. 4
A geometry-optimized Li5Mn3Sb2O10 structure. Source: Alexandria, functional PBEsol.

Geometry as POSCAR:
```
Li5Mn3Sb2O10
1.0
5.269 0.000 0.000
-0.969 5.247 0.000
-2.566 -2.192 7.470
Li Mn Sb O
5 3 2 10
Direct
0.000 0.000 0.000 Li
0.201 0.116 0.722 Li
0.382 0.743 0.894 Li
0.618 0.257 0.106 Li
0.799 0.884 0.278 Li
0.000 0.500 0.500 Mn
0.395 0.189 0.392 Mn
0.605 0.811 0.608 Mn
0.218 0.598 0.196 Sb
0.782 0.402 0.804 Sb
0.018 0.271 0.253 O
0.167 0.358 0.948 O
0.198 0.825 0.427 O
0.405 0.454 0.656 O
0.407 0.932 0.153 O
0.593 0.068 0.847 O
0.595 0.546 0.344 O
0.802 0.175 0.573 O
0.833 0.642 0.052 O
0.982 0.729 0.747 O
```

Properties
**Crystal system**: triclinic
**DOS(E_F)**: 2.4 states/eV/f.u.
**Uncorrected energy**: -132.38 eV per cell

No. 5
A geometry-optimized Li4Mn3SbO8 structure. Source: Alexandria, functional PBEsol.

Geometry as POSCAR:
```
Li4Mn3SbO8
1.0
6.050 0.000 0.000
0.000 6.202 0.000
-5.799 0.000 8.385
Li Mn Sb O
8 6 2 16
Direct
0.000 0.000 0.000 Li
0.000 0.000 0.500 Li
0.000 0.500 0.000 Li
0.000 0.500 0.500 Li
0.500 0.223 0.250 Li
0.500 0.261 0.750 Li
0.500 0.739 0.250 Li
0.500 0.777 0.750 Li
0.000 0.253 0.250 Mn
0.000 0.747 0.750 Mn
0.500 0.000 0.000 Mn
0.500 0.000 0.500 Mn
0.500 0.500 0.000 Mn
0.500 0.500 0.500 Mn
0.000 0.243 0.750 Sb
0.000 0.757 0.250 Sb
0.227 0.243 0.990 O
0.227 0.757 0.490 O
0.231 0.011 0.745 O
0.231 0.989 0.245 O
0.248 0.476 0.761 O
0.248 0.524 0.261 O
0.273 0.275 0.491 O
0.273 0.725 0.991 O
0.727 0.275 0.009 O
0.727 0.725 0.509 O
0.752 0.476 0.739 O
0.752 0.524 0.239 O
0.769 0.011 0.755 O
0.769 0.989 0.255 O
0.773 0.243 0.510 O
0.773 0.757 0.010 O
```

Properties
**Relative energy among the computed polymorphs**: 1 meV/atom
**Crystal system**: monoclinic
**DOS(E_F)**: 3.9 states/eV/f.u.

No. 6
A geometry-optimized Li4Mn3Sn3Sb2O16 structure. Source: Alexandria, functional PBEsol.

Geometry as POSCAR:
```
Li4Mn3Sn3Sb2O16
1.0
5.384 -3.061 0.000
5.384 3.061 0.000
-0.031 0.000 9.936
Li Mn Sn Sb O
4 3 3 2 16
Direct
0.000 0.000 0.000 Li
0.017 0.017 0.516 Li
0.337 0.337 0.610 Li
0.661 0.661 0.097 Li
0.161 0.161 0.279 Mn
0.342 0.821 0.794 Mn
0.821 0.342 0.794 Mn
0.163 0.662 0.287 Sn
0.662 0.163 0.287 Sn
0.828 0.828 0.790 Sn
0.321 0.321 0.011 Sb
0.664 0.664 0.522 Sb
0.005 0.005 0.708 O
0.036 0.466 0.161 O
0.154 0.659 0.914 O
0.159 0.159 0.906 O
0.299 0.866 0.384 O
0.345 0.345 0.401 O
0.466 0.036 0.161 O
0.473 0.473 0.151 O
0.518 0.518 0.678 O
0.522 0.970 0.660 O
0.659 0.154 0.914 O
0.662 0.662 0.898 O
0.847 0.847 0.409 O
0.866 0.299 0.384 O
0.970 0.522 0.660 O
0.981 0.981 0.175 O
```

Properties
**Crystal system**: monoclinic
**DOS(E_F)**: 3.0 states/eV/f.u.
**Uncorrected energy**: -189.18 eV per cell

No. 7
A geometry-optimized Li4MnSb2WO12 structure. Source: Alexandria, functional PBEsol.

Geometry as POSCAR:
```
Li4MnSb2WO12
1.0
5.046 0.000 0.000
-0.002 5.361 0.000
-0.006 -0.606 7.341
Li Mn Sb W O
4 1 2 1 12
Direct
0.000 0.000 0.000 Li
0.000 0.012 0.463 Li
0.498 0.547 0.992 Li
0.503 0.672 0.396 Li
0.002 0.596 0.190 Mn
0.000 0.591 0.690 Sb
0.504 0.110 0.196 Sb
0.499 0.102 0.697 W
0.128 0.621 0.943 O
0.185 0.272 0.622 O
0.189 0.911 0.250 O
0.315 0.431 0.244 O
0.316 0.795 0.624 O
0.371 0.109 0.936 O
0.630 0.101 0.451 O
0.669 0.417 0.756 O
0.702 0.796 0.128 O
0.811 0.923 0.751 O
0.815 0.304 0.119 O
0.877 0.620 0.437 O
```

Properties
**Crystal system**: triclinic
**Uncorrected energy**: -140.26 eV per cell

no.,M_tot (μB per formula unit),calculated density (g/cm³)
1,19.324,4.9
2,13.654,4.7
3,13.781,4.7
4,14.347,4.8
5,13.635,4.7
6,12.643,5.3
7,3.000,5.9